No. 1
This record from Alexandria via LeMat-Bulk describes a relaxed Ca3In2Ga9 crystal. The functional is GGA-PBE.

The calculation puts the formation energy at -455 kJ/mol of formula units. Its volume is 305.1 Å³/f.u.

Unit cell a=4.3269 b=10.4172 c=13.5380 alpha=90.00 beta=90.00 gamma=90.00
Closest atoms and distances in Å follow each position.
Space group Immm (No. 71)
Asymmetric unit:
1 Ca 0.0000 0.0000 0.0000 [2 per cell]  12 Ga 3.35-3.53, 4 In 3.71
2 Ca 0.0000 0.0000 0.3143 [4 per cell]  12 Ga 3.23-3.52, 2 In 3.34
3 In 0.0000 0.2109 0.5000 [4 per cell]  8 Ga 2.82-3.08
4 Ga 0.0000 0.2698 0.1575 [8 per cell]  3 Ga 2.66
5 Ga 0.0000 0.3779 0.3358 [8 per cell]  4 Ga 2.54-2.66, 1 In 2.82
6 Ga 0.0000 0.5000 0.0000 [2 per cell]  4 In 3.08, 4 Ga 3.21, 4 Ca 3.32

No. 2
This record from Alexandria via LeMat-Bulk describes a relaxed CoCuCl2 crystal. The functional is GGA-PBE.

Its volume is 62.4 Å³/f.u. The calculation puts the relative energy among the computed polymorphs at 429 meV/atom. The uncorrected formation energy comes out at 0.295 eV per atom.

Unit cell a=4.4729 b=4.4729 c=3.1176 alpha=90.00 beta=90.00 gamma=90.00
Closest atoms and distances in Å follow each position.
Space group P4/mmm (No. 123)
Asymmetric unit:
1 Co 0.0000 0.0000 0.0000 [1 per cell]  8 Cl 2.73
2 Cu 0.5000 0.5000 0.0000 [1 per cell]  8 Cl 2.73
3 Cl 0.0000 0.5000 0.5000 [2 per cell]  4 Co 2.73, 4 Cu 2.73

No. 3
This record from Alexandria via LeMat-Bulk describes a relaxed AcIn6Pd6 crystal. The functional is GGA-PBE.

The calculation puts the formation energy at -660 kJ/mol of formula units. Its volume is 262.6 Å³/f.u.

Unit cell a=5.6626 b=9.3541 c=9.9157 alpha=90.00 beta=90.00 gamma=90.00
Closest atoms and distances in Å follow each position.
Space group Immm (No. 71)
Asymmetric unit:
1 Ac 0.0000 0.0000 0.0000 [2 per cell]  8 In 3.22-3.44, 4 Pd 3.58
2 In 0.0000 0.0000 0.3474 [4 per cell]  6 Pd 2.90-2.91, 3 In 3.03-3.24
3 In 0.0000 0.3443 0.0000 [4 per cell]  1 In 2.91, 6 Pd 2.99-3.01, 1 Ac 3.22
4 In 0.0000 0.5000 0.3114 [4 per cell]  6 Pd 2.80-2.88
5 Pd 0.0000 0.2663 0.5000 [4 per cell]  4 Pd 2.86, 6 In 2.88-3.01
6 Pd 0.2500 0.2500 0.2500 [8 per cell]  6 In 2.80-2.99, 4 Pd 2.83-2.86

No. 4
This record from Alexandria via LeMat-Bulk describes a relaxed RbZr2Br crystal. The functional is GGA-PBE.

Its volume is 140.2 Å³/f.u. The calculation puts the relative energy among the computed polymorphs at 0 meV/atom. The uncorrected formation energy comes out at 0.597 eV per atom.

Unit cell a=5.1194 b=5.1194 c=21.3916 alpha=90.00 beta=90.00 gamma=90.00
Closest atoms and distances in Å follow each position.
Space group I-42d (No. 122)
Asymmetric unit:
1 Rb 0.0000 0.0000 0.0000 [4 per cell]  4 Br 3.62, 8 Zr 3.80-4.04
2 Zr 0.0362 0.2500 0.6250 [8 per cell]  2 Zr 2.59
3 Br 0.0000 0.0000 0.5000 [4 per cell]  4 Zr 2.97

No. 5
This record from Alexandria via LeMat-Bulk describes a relaxed Tb2ScPd9 crystal. The functional is GGA-PBE.

The calculation puts the formation energy at -985 kJ/mol of formula units. Its volume is 205.6 Å³/f.u.

Unit cell a=4.1012 b=4.1012 c=12.2264 alpha=90.00 beta=90.00 gamma=90.00
Closest atoms and distances in Å follow each position.
Space group P4/mmm (No. 123)
Asymmetric unit:
1 Tb 0.0000 0.0000 0.1706 [2 per cell]  12 Pd 2.90-2.93
2 Sc 0.0000 0.0000 0.5000 [1 per cell]  12 Pd 2.82-2.90
3 Pd 0.0000 0.5000 0.0000 [2 per cell]  8 Pd 2.90-2.92, 4 Tb 2.92
4 Pd 0.0000 0.5000 0.3415 [4 per cell]  8 Pd 2.82-2.93, 2 Sc 2.82, 2 Tb 2.93
5 Pd 0.5000 0.5000 0.1702 [2 per cell]  4 Tb 2.90, 8 Pd 2.92-2.93
6 Pd 0.5000 0.5000 0.5000 [1 per cell]  8 Pd 2.82, 4 Sc 2.90

No. 6
This record from Alexandria via LeMat-Bulk describes a relaxed Ba3ReN3 crystal. The functional is GGA-PBE.

Its volume is 171.3 Å³/f.u. The calculation puts the relative energy among the computed polymorphs at 0 meV/atom. The uncorrected formation energy comes out at -0.632 eV per atom.

Unit cell a=8.2828 b=8.2828 c=5.7648 alpha=90.00 beta=90.00 gamma=120.00
Closest atoms and distances in Å follow each position.
Space group P6_3/m (No. 176)
Asymmetric unit:
1 Ba 0.0998 0.3597 0.2500 [6 per cell]  5 N 2.94-3.03
2 Re 0.3333 0.6667 0.7500 [2 per cell]  3 N 1.84
3 N 0.1191 0.4375 0.7500 [6 per cell]  1 Re 1.84

No. 7
This record from Alexandria via LeMat-Bulk describes a relaxed Na2Ce2PaSe6 crystal. The functional is GGA-PBE.

Its volume is 329.9 Å³/f.u. The uncorrected formation energy comes out at -1.537 eV per atom.

Unit cell a=7.4209 b=12.7216 c=7.4079 alpha=90.00 beta=109.35 gamma=90.00
Closest atoms and distances in Å follow each position.
Space group C2/m (No. 12)
Asymmetric unit:
1 Na 0.0000 0.1690 0.0000 [4 per cell]  6 Se 3.07-3.14
2 Ce 0.0000 0.3348 0.5000 [4 per cell]  6 Se 2.96-2.99
3 Pa 0.0000 0.0000 0.5000 [2 per cell]  6 Se 2.85-2.87
4 Se 0.2358 0.1624 0.7290 [8 per cell]  1 Pa 2.87, 2 Ce 2.96-2.99, 2 Na 3.07-3.14
5 Se 0.2412 0.0000 0.2704 [4 per cell]  1 Pa 2.85, 2 Ce 2.97, 2 Na 3.08

No. 8
This record from Alexandria via LeMat-Bulk describes a relaxed Si2AsF crystal. The functional is GGA-PBE.

Its volume is 83.9 Å³/f.u. The calculation puts the relative energy among the computed polymorphs at 142 meV/atom. The uncorrected formation energy comes out at 0.009 eV per atom.

Unit cell a=6.0389 b=6.0389 c=9.1976 alpha=90.00 beta=90.00 gamma=90.00
Closest atoms and distances in Å follow each position.
Space group I-42d (No. 122)
Asymmetric unit:
1 Si 0.2284 0.2500 0.1250 [8 per cell]  2 F 2.35, 2 As 2.51
2 As 0.0000 0.0000 0.5000 [4 per cell]  4 Si 2.51
3 F 0.0000 0.0000 0.0000 [4 per cell]  4 Si 2.35

No. 9
This record from Alexandria via LeMat-Bulk describes a relaxed KSi3As crystal. The functional is GGA-PBE.

Its volume is 129.5 Å³/f.u. The calculation puts the relative energy among the computed polymorphs at 0 meV/atom. The uncorrected formation energy comes out at 0.814 eV per atom.

Unit cell a=5.0599 b=5.0599 c=5.0599 alpha=90.00 beta=90.00 gamma=90.00
Closest atoms and distances in Å follow each position.
Space group Pm-3m (No. 221)
Asymmetric unit:
1 K 0.0000 0.0000 0.0000 [1 per cell]  12 Si 3.58
2 Si 0.0000 0.5000 0.5000 [3 per cell]  2 As 2.53
3 As 0.5000 0.5000 0.5000 [1 per cell]  6 Si 2.53

No. 10
This record from Alexandria via LeMat-Bulk describes a relaxed CsTl4Sn crystal. The functional is GGA-PBE.

The calculation puts the formation energy at -37 kJ/mol of formula units. Its volume is 224.4 Å³/f.u. The calculation puts the relative energy among the computed polymorphs at 0 meV/atom.

Unit cell a=10.0932 b=4.7753 c=9.3120 alpha=90.00 beta=90.00 gamma=90.00
Closest atoms and distances in Å follow each position.
Space group Pmma (No. 51)
Asymmetric unit:
1 Cs 0.2500 0.0000 0.1176 [2 per cell]  1 Sn 3.85, 6 Tl 3.89-4.00
2 Tl 0.0000 0.0000 0.5000 [2 per cell]  2 Sn 3.16, 4 Tl 3.51
3 Tl 0.0561 0.5000 0.7876 [4 per cell]  2 Sn 3.18
4 Tl 0.2500 0.5000 0.4476 [2 per cell]  2 Sn 3.38, 6 Tl 3.51-3.72
5 Sn 0.2500 0.0000 0.7044 [2 per cell]  8 Tl 3.16-3.38

No. 11
This record from Alexandria via LeMat-Bulk describes a relaxed FeReIr2 crystal. The functional is GGA-PBE.

The calculation puts the formation energy at -55 kJ/mol of formula units. Its volume is 56.1 Å³/f.u. The calculation puts the relative energy among the computed polymorphs at 0 meV/atom.

Unit cell a=2.7314 b=3.8036 c=5.4006 alpha=90.00 beta=90.11 gamma=90.00
Closest atoms and distances in Å follow each position.
Space group P2/m (No. 10)
Asymmetric unit:
1 Fe 0.0000 0.0000 0.0000 [1 per cell]  8 Ir 2.69-2.70, 2 Re 2.70, 2 Fe 2.73
2 Re 0.0000 0.0000 0.5000 [1 per cell]  2 Fe 2.70, 8 Ir 2.71, 2 Re 2.73
3 Ir 0.4991 0.5000 0.2466 [2 per cell]  4 Ir 2.66-2.74, 4 Fe 2.69-2.70, 4 Re 2.71

No. 12
This record from Alexandria via LeMat-Bulk describes a relaxed CaBeRe2 crystal. The functional is GGA-PBE.

The calculation puts the formation energy at 271 kJ/mol of formula units. Its volume is 63.7 Å³/f.u.

Unit cell a=5.3899 b=9.4122 c=2.6543 alpha=90.00 beta=108.80 gamma=90.00
Closest atoms and distances in Å follow each position.
Space group C2/m (No. 12)
Asymmetric unit:
1 Ca 0.0000 0.0000 0.0000 [2 per cell]  2 Ca 2.65, 2 Be 2.69, 4 Re 2.82
2 Be 0.0000 0.5000 0.0000 [2 per cell]  2 Be 2.65, 2 Ca 2.69, 4 Re 2.82
3 Re 0.2500 0.2500 0.5000 [4 per cell]  4 Re 2.65-2.69, 2 Be 2.82, 2 Ca 2.82

No. 13
This record from Alexandria via LeMat-Bulk describes a relaxed CaMgGe2Pd crystal. The functional is GGA-PBE.

The calculation puts the formation energy at -288 kJ/mol of formula units. Its volume is 99.8 Å³/f.u.

Unit cell a=4.2016 b=4.2016 c=11.3094 alpha=90.00 beta=90.00 gamma=90.00
Closest atoms and distances in Å follow each position.
Space group I-4m2 (No. 119)
Asymmetric unit:
1 Ca 0.0000 0.0000 0.0000 [2 per cell]  8 Ge 3.21, 4 Mg 3.52, 4 Pd 3.52
2 Mg 0.0000 0.5000 0.7500 [2 per cell]  4 Ge 2.64
3 Ge 0.0000 0.0000 0.3914 [4 per cell]  1 Ge 2.46, 2 Mg 2.64, 2 Pd 2.64
4 Pd 0.0000 0.5000 0.2500 [2 per cell]  4 Ge 2.64

No. 14
This record from Alexandria via LeMat-Bulk describes a relaxed LaInPd crystal. The functional is GGA-PBE.

The calculation puts the formation energy at -186 kJ/mol of formula units. Its volume is 82.3 Å³/f.u.

Unit cell a=6.9055 b=6.9055 c=6.9055 alpha=90.00 beta=90.00 gamma=90.00
Closest atoms and distances in Å follow each position.
Space group F-43m (No. 216)
Asymmetric unit:
1 La 0.0000 0.0000 0.0000 [4 per cell]  4 Pd 2.99
2 In 0.0000 0.0000 0.5000 [4 per cell]  4 Pd 2.99
3 Pd 0.2500 0.2500 0.7500 [4 per cell]  4 In 2.99, 4 La 2.99

No. 15
This record from Alexandria via LeMat-Bulk describes a relaxed Tb3PrSn3 crystal. The functional is GGA-PBE.

The calculation puts the formation energy at -374 kJ/mol of formula units. Its volume is 202.5 Å³/f.u.

Unit cell a=9.3086 b=9.3086 c=5.3961 alpha=90.00 beta=90.00 gamma=120.00
Closest atoms and distances in Å follow each position.
Space group P6_3/m (No. 176)
Asymmetric unit:
1 Tb 0.0012 0.7619 0.2500 [6 per cell]  4 Sn 3.05-3.30
2 Pr 0.3333 0.6667 0.2500 [2 per cell]  9 Sn 3.37-3.52, 3 Tb 3.62
3 Sn 0.0727 0.6238 0.7500 [6 per cell]  4 Tb 3.05-3.30, 2 Sn 3.36, 1 Pr 3.37

No. 16
This record from Alexandria via LeMat-Bulk describes a relaxed CdGa4 crystal. The functional is GGA-PBE.

The calculation puts the formation energy at 15 kJ/mol of formula units. Its volume is 99.8 Å³/f.u. The calculation puts the relative energy among the computed polymorphs at 0 meV/atom.

Unit cell a=2.9561 b=5.3033 c=6.5432 alpha=98.66 beta=98.55 gamma=94.05
Closest atoms and distances in Å follow each position.
Space group P-1 (No. 2)
Asymmetric unit:
1 Cd 0.0000 0.0000 0.0000 [1 per cell]  2 Cd 2.96, 8 Ga 3.00-3.31
2 Ga 0.2263 0.7983 0.5767 [2 per cell]  7 Ga 2.75-2.97, 1 Cd 3.00
3 Ga 0.4251 0.4033 0.7935 [2 per cell]  6 Ga 2.70-2.96, 1 Cd 3.00

No. 17
This record from Alexandria via LeMat-Bulk describes a relaxed Ac2ScIn3 crystal. The functional is GGA-PBE.

The calculation puts the formation energy at -224 kJ/mol of formula units. Its volume is 187.9 Å³/f.u.

Unit cell a=12.0069 b=4.9522 c=8.1629 alpha=90.00 beta=129.25 gamma=90.00
Closest atoms and distances in Å follow each position.
Space group Cm (No. 8)
Asymmetric unit:
1 Ac 0.0000 0.0000 0.0000 [2 per cell]  7 In 3.48-3.71, 3 Sc 3.64-3.75
2 Ac 0.1190 0.0000 0.6294 [2 per cell]  8 In 3.46-3.83, 3 Sc 3.77-3.79
3 Sc 0.2322 0.5000 0.4080 [2 per cell]  4 In 2.94-3.21
4 In 0.2199 0.5000 0.0214 [2 per cell]  3 In 3.03-3.13, 1 Sc 3.07
5 In 0.3980 0.0000 0.6091 [2 per cell]  2 Sc 2.94, 2 In 3.13
6 In 0.4054 0.0000 0.2325 [2 per cell]  3 In 3.03-3.13, 1 Sc 3.21

No. 18
This record from Alexandria via LeMat-Bulk describes a relaxed YSiHg3 crystal. The functional is GGA-PBE.

Its volume is 188.5 Å³/f.u. The calculation puts the relative energy among the computed polymorphs at 696 meV/atom. The uncorrected formation energy comes out at 0.892 eV per atom.

Unit cell a=5.7340 b=5.7340 c=5.7340 alpha=90.00 beta=90.00 gamma=90.00
Closest atoms and distances in Å follow each position.
Space group Pm-3m (No. 221)
Asymmetric unit:
1 Y 0.0000 0.0000 0.0000 [1 per cell]  6 Hg 2.87
2 Si 0.5000 0.5000 0.5000 [1 per cell]  12 Hg 4.05
3 Hg 0.0000 0.0000 0.5000 [3 per cell]  2 Y 2.87

No. 19
This record from Alexandria via LeMat-Bulk describes a relaxed Er2AlW crystal. The functional is GGA-PBE.

The calculation puts the formation energy at 242 kJ/mol of formula units. Its volume is 89.0 Å³/f.u.

Unit cell a=3.0839 b=3.0839 c=32.4350 alpha=90.00 beta=90.00 gamma=120.00
Closest atoms and distances in Å follow each position.
Space group R-3m (No. 166, hexagonal axes)
Asymmetric unit:
1 Er 0.0000 0.0000 0.0877 [6 per cell]  1 W 2.84, 6 Er 3.08, 3 Al 3.12
2 Al 0.0000 0.0000 0.5000 [3 per cell]  6 Al 3.08, 6 Er 3.12
3 W 0.0000 0.0000 0.0000 [3 per cell]  2 Er 2.84, 6 W 3.08

No. 20
This record from Alexandria via LeMat-Bulk describes a relaxed PrSbRh4 crystal. The functional is GGA-PBE.

Its volume is 109.3 Å³/f.u. The calculation puts the relative energy among the computed polymorphs at 0 meV/atom. The uncorrected formation energy comes out at -0.358 eV per atom.

Unit cell a=7.5900 b=7.5900 c=7.5900 alpha=90.00 beta=90.00 gamma=90.00
Closest atoms and distances in Å follow each position.
Space group F-43m (No. 216)
Asymmetric unit:
1 Pr 0.0000 0.0000 0.0000 [4 per cell]  12 Rh 3.15, 4 Sb 3.29
2 Sb 0.2500 0.2500 0.7500 [4 per cell]  12 Rh 3.14, 4 Pr 3.29
3 Rh 0.1240 0.1240 0.3760 [16 per cell]  6 Rh 2.66-2.71